(1)
# CaTlGa2B PBE optimized geometry
# DOS(E_F)	2.347	states/eV per cell
# formation enthalpy at 0 K	391	kJ/mol of formula units
data_CaTlGa2B
_chemical_formula_sum 'Ca1 Tl1 Ga2 B1'
_symmetry_space_group_name_H-M 'P 4/m m m'
_symmetry_Int_Tables_number 123
_symmetry_space_group_name_Hall '-P 4 2'
_cell_length_a 5.677
_cell_length_b 5.677
_cell_length_c 4.190
_cell_angle_alpha 90.00
_cell_angle_beta 90.00
_cell_angle_gamma 90.00
loop_
_atom_site_label
_atom_site_fract_x
_atom_site_fract_y
_atom_site_fract_z
_atom_site_occupancy
Ca1 0.000 0.000 0.000 1
Tl1 0.500 0.500 0.500 1
Ga1 0.000 0.500 0.500 1
B1 0.500 0.500 0.000 1

***

(2)
# CaGa2BW PBE optimized geometry
# DOS(E_F)	3.297	states/eV per cell
# formation enthalpy at 0 K	717	kJ/mol of formula units
data_CaGa2BW
_chemical_formula_sum 'Ca1 Ga2 B1 W1'
_symmetry_space_group_name_H-M 'P 4/m m m'
_symmetry_Int_Tables_number 123
_symmetry_space_group_name_Hall '-P 4 2'
_cell_length_a 4.925
_cell_length_b 4.925
_cell_length_c 5.386
_cell_angle_alpha 90.00
_cell_angle_beta 90.00
_cell_angle_gamma 90.00
loop_
_atom_site_label
_atom_site_fract_x
_atom_site_fract_y
_atom_site_fract_z
_atom_site_occupancy
Ca1 0.000 0.000 0.000 1
Ga1 0.000 0.500 0.500 1
B1 0.500 0.500 0.000 1
W1 0.000 0.000 0.500 1